[1]
A plane-wave DFT calculation with PBE-GGA was carried out for CoBWS2 after structural relaxation.

The structure in POSCAR format:
```
CoBWS2
1.0
4.4810 0.0000 0.0000
0.0000 4.4810 0.0000
0.0000 0.0000 3.5633
Co B W S
1 1 1 2
direct
0.0000 0.0000 0.0000
0.0000 0.0000 0.5000
0.5000 0.5000 0.5000
0.0000 0.5000 0.0000
0.5000 0.0000 0.0000
```

Computed properties:
E_form (uncorrected): 496 kJ/mol of formula units
final energy: -29.85 eV for the cell shown
theoretical density: 7.4 g/cm³

---

[2]
A plane-wave DFT calculation with PBE-GGA was carried out for Co21B6Sb2 after structural relaxation.

The structure in POSCAR format:
```
Co21B6Sb2
1.0
0.0000 5.2754 5.2754
5.2754 0.0000 5.2754
5.2754 5.2754 0.0000
Co B Sb
21 6 2
direct
0.0000 0.0000 0.0000
0.0000 0.0000 0.3337
0.0000 0.0000 0.6663
0.0000 0.3337 0.0000
0.0000 0.3337 0.6663
0.0000 0.6663 0.0000
0.0000 0.6663 0.3337
0.1512 0.6163 0.6163
0.3337 0.0000 0.0000
0.3337 0.0000 0.6663
0.3337 0.6663 0.0000
0.3837 0.3837 0.3837
0.3837 0.3837 0.8488
0.3837 0.8488 0.3837
0.6163 0.1512 0.6163
0.6163 0.6163 0.1512
0.6163 0.6163 0.6163
0.6663 0.0000 0.0000
0.6663 0.0000 0.3337
0.6663 0.3337 0.0000
0.8488 0.3837 0.3837
0.2767 0.2767 0.7233
0.2767 0.7233 0.2767
0.2767 0.7233 0.7233
0.7233 0.2767 0.2767
0.7233 0.2767 0.7233
0.7233 0.7233 0.2767
0.2500 0.2500 0.2500
0.7500 0.7500 0.7500
```

Computed properties:
E_form (uncorrected): -518 kJ/mol of formula units
final energy: -202.90 eV for the cell shown
theoretical density: 8.7 g/cm³

---

[3]
A plane-wave DFT calculation with PBE-GGA was carried out for CoBSb3 after structural relaxation.

The structure in POSCAR format:
```
CoBSb3
1.0
4.7181 0.0000 0.0000
0.0000 4.7181 0.0000
0.0000 0.0000 4.7181
Co B Sb
1 1 3
direct
0.0000 0.0000 0.0000
0.5000 0.5000 0.5000
0.0000 0.5000 0.5000
0.5000 0.0000 0.5000
0.5000 0.5000 0.0000
```

Computed properties:
E_form (uncorrected): 523 kJ/mol of formula units
final energy: -20.73 eV for the cell shown
theoretical density: 6.9 g/cm³
relative energy among the computed polymorphs: 0 meV/atom

---

[4]
A plane-wave DFT calculation with PBE-GGA was carried out for CoBSb3 after structural relaxation.

The structure in POSCAR format:
```
CoBSb3
1.0
4.8861 0.0000 0.0000
0.0000 4.8861 0.0000
0.0000 0.0000 4.8861
Co B Sb
1 1 3
direct
0.0000 0.0000 0.0000
0.5000 0.5000 0.5000
0.0000 0.0000 0.5000
0.0000 0.5000 0.0000
0.5000 0.0000 0.0000
```

Computed properties:
E_form (uncorrected): 553 kJ/mol of formula units
final energy: -20.42 eV for the cell shown
theoretical density: 6.2 g/cm³
relative energy among the computed polymorphs: 62 meV/atom